(1)
LiSm5Rh6 after structural relaxation, computed with PBE-GGA.

```
data_LiSm5Rh6
_chemical_formula_sum 'Li2 Sm10 Rh12'
_space_group_name_H-M_alt 'C 1 2/m 1'
_space_group_IT_number 12
_space_group_name_Hall '-C 2y'
_cell_length_a 8.504
_cell_length_b 14.444
_cell_length_c 4.794
_cell_angle_alpha 90.00
_cell_angle_beta 124.26
_cell_angle_gamma 90.00
loop_
_atom_site_label
_atom_site_fract_x
_atom_site_fract_y
_atom_site_fract_z
Li1 0.000 0.000 0.000
Sm1 0.000 0.147 0.500
Sm2 0.000 0.326 0.000
Sm3 0.000 0.500 0.500
Rh1 0.232 0.500 0.232
Rh2 0.246 0.333 0.746
```

## Properties
Spin magnetization in μB per cell: 0.00
VASP energy in eV for the cell shown: -154.4
Formation enthalpy at 0 K in eV per atom: -0.633
Density of states at the Fermi level in states/eV/f.u.: 4.7

=====

(2)
LiSm3Rh after structural relaxation, computed with PBE-GGA.

```
data_LiSm3Rh
_chemical_formula_sum 'Li1 Sm3 Rh1'
_space_group_name_H-M_alt 'P m -3 m'
_space_group_IT_number 221
_space_group_name_Hall '-P 4 2 3'
_cell_length_a 5.509
_cell_length_b 5.509
_cell_length_c 5.509
_cell_angle_alpha 90.00
_cell_angle_beta 90.00
_cell_angle_gamma 90.00
loop_
_atom_site_label
_atom_site_fract_x
_atom_site_fract_y
_atom_site_fract_z
Li1 0.000 0.000 0.000
Sm1 0.000 0.500 0.500
Rh1 0.500 0.500 0.500
```

## Properties
Spin magnetization in μB per cell: 0.00
VASP energy in eV for the cell shown: -24.2
Formation enthalpy at 0 K in eV per atom: -0.155
Density of states at the Fermi level in states/eV/f.u.: 3.4